(1)
CaCd: optimized geometry, PBE.

## Properties
V: 29.9 A^3/atom
Formation energy: -208 meV per atom
Uncorrected energy: -1.67 eV/atom
M_tot: 0.00 μB/atom

```
CaCd
1.0
2.5447 -4.4075 0.0000
2.5447 4.4075 0.0000
0.0000 0.0000 10.6474
Ca Cd
4 4
direct
0.3333 0.6667 0.0934
0.6667 0.3333 0.5934
0.6667 0.3333 0.9066
0.3333 0.6667 0.4066
0.0000 0.0000 0.2500
0.0000 0.0000 0.7500
0.3333 0.6667 0.7500
0.6667 0.3333 0.2500
```



(2)
SrCuIr2: optimized geometry, PBE.

## Properties
V: 17.6 A^3/atom
Formation energy: 523 meV per atom
Uncorrected energy: -5.35 eV/atom
M_tot: 0.00 μB/atom
Offset from the most stable computed form: 333 meV/atom

```
SrCuIr2
1.0
5.2073 0.0166 0.0000
-2.2212 4.7098 0.0000
0.0000 0.0000 2.8651
Cu Ir Sr
1 2 1
direct
0.0000 0.5000 0.5000
0.0000 0.0000 0.0000
0.5000 0.5000 0.0000
0.5000 0.0000 0.5000
```